No. 1
Computed, not measured: crystalline HoCoAu at its relaxed geometry at the PBE level of DFT.

Structure (POSCAR):
```
HoCoAu
1.0
-2.063 -3.902 2.216
4.508 1.505 1.343
-1.140 1.697 1.927
Au Co Ho
1 1 1
Cartesian
0.000 0.000 0.000 Au
2.318 -0.298 1.634 Co
0.128 -2.100 1.925 Ho
```

Computed properties:
Formation energy: 342 meV per atom
E_tot: -4.64 eV per atom


No. 2
Computed, not measured: crystalline Cs2NaAu3C6N6 at its relaxed geometry at the PBE level of DFT.

Structure (POSCAR):
```
Cs2NaAu3C6N6
1.0
6.941 0.000 0.000
-3.471 6.011 0.000
0.000 0.000 18.455
C N Au Cs Na
12 12 6 4 2
Cartesian
0.000 2.024 2.629 C
3.471 3.987 11.856 C
5.188 1.012 15.827 C
0.000 2.024 6.599 C
-1.718 4.999 6.599 C
-1.718 4.999 2.629 C
1.753 1.012 15.827 C
3.471 3.987 15.827 C
1.718 4.999 6.599 C
5.188 1.012 11.856 C
1.753 1.012 11.856 C
1.718 4.999 2.629 C
5.228 0.989 16.999 N
1.757 5.022 1.456 N
0.000 1.978 7.771 N
3.471 4.033 16.999 N
-1.757 5.022 1.456 N
1.757 5.022 7.771 N
3.471 4.033 10.684 N
1.713 0.989 10.684 N
0.000 1.978 1.456 N
-1.757 5.022 7.771 N
1.713 0.989 16.999 N
5.228 0.989 10.684 N
1.692 4.984 4.614 Au
0.000 2.054 4.614 Au
1.779 1.027 13.842 Au
5.162 1.027 13.842 Au
-1.692 4.984 4.614 Au
3.471 3.957 13.842 Au
3.471 2.004 1.106 Cs
3.471 2.004 8.122 Cs
0.000 4.007 17.350 Cs
0.000 4.007 10.333 Cs
0.000 0.000 9.228 Na
0.000 0.000 0.000 Na
```

Computed properties:
E_tot: -6.64 eV per atom


No. 3
Computed, not measured: crystalline Re17Ni12 at its relaxed geometry at the PBE level of DFT.

Structure (POSCAR):
```
Re17Ni12
1.0
7.443 0.212 2.617
-3.743 6.599 2.176
-3.694 -6.257 3.080
Re Ni
17 12
Cartesian
1.179 -1.746 3.958 Re
-1.515 -2.395 3.737 Re
-4.084 1.958 2.757 Re
1.163 2.291 3.674 Re
0.488 4.614 2.567 Re
-2.398 -4.062 2.000 Re
4.832 0.138 1.699 Re
0.002 0.194 2.762 Re
0.000 0.000 0.000 Re
-2.430 4.284 1.412 Re
3.057 0.261 3.546 Re
-1.535 2.883 3.365 Re
3.589 -2.423 3.060 Re
-2.334 0.260 3.819 Re
-4.071 -1.584 3.006 Re
3.570 2.855 2.688 Re
0.521 -4.205 3.187 Re
-2.060 1.264 1.371 Ni
-0.681 -0.810 5.552 Ni
1.384 0.390 5.466 Ni
-0.690 1.574 5.384 Ni
0.023 -2.260 1.617 Ni
2.372 -3.723 5.037 Ni
0.005 2.464 1.285 Ni
2.041 1.302 1.365 Ni
2.342 4.410 4.464 Ni
-2.051 -1.075 1.535 Ni
2.050 -1.082 1.533 Ni
-4.704 0.317 4.758 Ni
```

Computed properties:
Formation energy: 38 meV per atom
Energy above the most stable polymorph in this dataset: 0.000 eV per formula unit
E_tot: -9.55 eV per atom


No. 4
Computed, not measured: crystalline Ta4AlPC2 at its relaxed geometry at the PBE level of DFT.

Structure (POSCAR):
```
Ta4AlPC2
1.0
-0.820 3.042 -0.581
-0.396 -1.234 2.929
11.705 3.760 3.168
Ta C Al P
4 2 1 1
Cartesian
7.478 2.402 2.024 Ta
4.226 1.358 1.144 Ta
1.480 0.839 2.305 Ta
9.150 3.303 4.381 Ta
2.411 2.609 1.426 C
7.936 4.384 2.921 C
0.000 0.000 0.000 Al
5.315 2.071 3.343 P
```

Computed properties:
E_tot: -10.00 eV per atom


No. 5
Computed, not measured: crystalline Ho5Tl4Ag at its relaxed geometry at the PBE level of DFT.

Structure (POSCAR):
```
Ho5Tl4Ag
1.0
-3.556 0.598 0.114
0.099 -0.096 3.605
3.360 19.907 0.437
Ho Tl Ag
5 4 1
Cartesian
-0.741 6.101 1.988 Ho
-0.048 10.204 2.078 Ho
1.332 18.382 2.258 Ho
-1.429 2.026 1.898 Ho
0.644 14.308 2.168 Ho
2.718 16.099 0.354 Tl
0.643 3.808 0.084 Tl
1.334 7.904 0.174 Tl
2.026 12.003 0.264 Tl
0.000 0.000 0.000 Ag
```

Computed properties:
E_tot: -3.84 eV per atom


No. 6
Computed, not measured: crystalline ScTa2 at its relaxed geometry at the PBE level of DFT.

Structure (POSCAR):
```
ScTa2
1.0
0.000 5.643 5.643
5.643 0.000 5.643
5.643 5.643 0.000
Sc Ta
2 4
Cartesian
2.822 2.822 2.822 Sc
5.643 5.643 5.643 Sc
7.054 4.232 7.054 Ta
4.232 7.054 7.054 Ta
7.054 7.054 4.232 Ta
4.232 4.232 4.232 Ta
```

Computed properties:
Formation energy: 4434 meV per atom
Energy above the most stable polymorph in this dataset: 12.672 eV per formula unit
E_tot: -5.58 eV per atom


No. 7
Computed, not measured: crystalline ZnBiTe at its relaxed geometry at the PBE level of DFT.

Structure (POSCAR):
```
ZnBiTe
1.0
-2.541 -6.516 -2.933
0.629 -1.789 3.429
-11.342 2.823 3.553
Zn Bi Te
4 4 4
Cartesian
-12.000 -4.939 2.983 Zn
-1.254 -0.543 1.066 Zn
-7.563 -2.469 3.458 Zn
-5.691 -3.013 0.592 Zn
-8.749 -3.384 0.959 Bi
-4.505 -2.097 3.091 Bi
-2.911 -6.068 0.727 Bi
-10.343 0.586 3.323 Bi
-11.405 -2.463 1.927 Te
-5.752 -5.622 1.481 Te
-7.502 0.140 2.569 Te
-1.849 -3.019 2.123 Te
```

Computed properties:
E_tot: -2.76 eV per atom


No. 8
Computed, not measured: crystalline Hf2B at its relaxed geometry at the PBE level of DFT.

Structure (POSCAR):
```
Hf2B
1.0
-1.080 -1.416 5.171
-0.992 3.863 3.743
-5.047 0.628 2.010
Hf B
4 2
Cartesian
-4.450 1.922 6.827 Hf
-3.954 -0.010 4.956 Hf
-3.910 2.630 4.242 Hf
-1.926 1.608 5.822 Hf
-1.780 0.769 2.731 B
0.000 0.000 0.000 B
```

Computed properties:
E_tot: -7.23 eV per atom


No. 9
Computed, not measured: crystalline Ga4Ir at its relaxed geometry at the PBE level of DFT.

Structure (POSCAR):
```
Ga4Ir
1.0
2.894 -2.829 -2.943
1.882 0.052 4.637
-4.632 -1.892 0.101
Ga Ir
4 1
Cartesian
1.447 -1.415 -1.472 Ga
0.072 -2.335 0.897 Ga
0.941 0.026 2.318 Ga
-2.316 -0.946 0.050 Ga
0.000 0.000 0.000 Ir
```

Computed properties:
E_tot: -4.29 eV per atom


No. 10
Computed, not measured: crystalline HoGaPd at its relaxed geometry at the PBE level of DFT.

Structure (POSCAR):
```
HoGaPd
1.0
2.330 1.345 3.806
-2.330 1.345 3.806
0.000 -2.691 3.806
Pd Ho Ga
1 1 1
Cartesian
0.000 0.000 2.854 Pd
0.000 0.000 0.000 Ho
0.000 0.000 8.563 Ga
```

Computed properties:
E_tot: -4.44 eV per atom


No. 11
Computed, not measured: crystalline Cs2CdInBr6 at its relaxed geometry at the PBE level of DFT.

Structure (POSCAR):
```
Cs2CdInBr6
1.0
-5.443 -3.713 -4.566
-7.772 1.819 0.749
-3.755 4.021 -5.831
Br Cs Cd In
6 2 1 1
Cartesian
-8.841 0.687 -7.600 Br
-8.130 1.440 -2.048 Br
-10.841 -0.410 -4.323 Br
-6.970 -1.316 -4.696 Br
-6.129 2.537 -5.325 Br
-10.001 3.443 -4.953 Br
-12.728 1.595 -7.236 Cs
-4.243 0.532 -2.412 Cs
-8.485 1.063 -4.824 Cd
0.000 0.000 0.000 In
```

Computed properties:
E_tot: -2.75 eV per atom


No. 12
Computed, not measured: crystalline Nb4CdFeN2 at its relaxed geometry at the PBE level of DFT.

Structure (POSCAR):
```
Nb4CdFeN2
1.0
-0.836 -1.844 -2.361
1.570 -1.178 2.412
-11.948 -2.793 6.413
N Nb Cd Fe
2 4 1 1
Cartesian
-2.819 -2.273 0.725 N
-9.197 -3.763 4.149 N
-7.348 -3.297 5.177 Nb
-3.064 -2.295 2.878 Nb
-1.717 -0.401 0.922 Nb
-10.231 -2.391 5.491 Nb
-5.974 -1.396 3.207 Cd
0.768 -1.400 0.821 Fe
```

Computed properties:
E_tot: -8.71 eV per atom


No. 13
Computed, not measured: crystalline LiCoSiAg at its relaxed geometry at the PBE level of DFT.

Structure (POSCAR):
```
LiCoSiAg
1.0
0.000 2.929 2.929
2.929 0.000 2.929
2.929 2.929 0.000
Si Co Ag Li
1 1 1 1
Cartesian
0.000 0.000 0.000 Si
4.394 4.394 4.394 Co
1.465 1.465 1.465 Ag
2.929 2.929 2.929 Li
```

Computed properties:
Energy above the most stable polymorph in this dataset: 0.000 eV per formula unit
E_tot: -4.40 eV per atom


No. 14
Computed, not measured: crystalline Al2SbIr at its relaxed geometry at the PBE level of DFT.

Structure (POSCAR):
```
Al2SbIr
1.0
0.000 3.279 3.279
3.279 0.000 3.279
3.279 3.279 0.000
Al Ir Sb
2 1 1
Cartesian
1.640 1.640 1.640 Al
0.000 0.000 0.000 Al
3.279 3.279 3.279 Ir
4.919 4.919 4.919 Sb
```

Computed properties:
E_tot: -5.05 eV per atom


No. 15
Computed, not measured: crystalline Hg2Pt2O5 at its relaxed geometry at the PBE level of DFT.

Structure (POSCAR):
```
Hg2Pt2O5
1.0
9.925 0.000 0.000
0.000 3.474 0.000
0.000 0.000 3.474
O Pt Hg
5 2 2
Cartesian
8.758 0.000 1.737 O
4.962 1.737 1.737 O
8.758 1.737 0.000 O
1.167 0.000 1.737 O
1.167 1.737 0.000 O
0.000 0.000 0.000 Pt
4.962 0.000 0.000 Pt
2.754 1.737 1.737 Hg
7.171 1.737 1.737 Hg
```

Computed properties:
Energy above the most stable polymorph in this dataset: 2.276 eV per formula unit
E_tot: -3.94 eV per atom


No. 16
Computed, not measured: crystalline LuTe2O4 at its relaxed geometry at the PBE level of DFT.

Structure (POSCAR):
```
LuTe2O4
1.0
-4.325 0.908 5.292
0.660 4.903 -4.803
-3.149 -5.938 -1.536
O Lu Te
8 2 4
Cartesian
-3.717 -0.433 1.530 O
-2.799 -1.404 -4.285 O
-4.965 -0.953 -1.637 O
-3.133 -3.858 -1.882 O
-5.295 -3.404 0.764 O
-3.391 2.017 -0.870 O
-1.225 1.565 -3.517 O
-1.555 -0.887 -1.116 O
-3.701 1.648 1.184 Lu
0.000 0.000 0.000 Lu
-5.588 -1.691 2.470 Te
-3.425 -2.145 -0.176 Te
-1.520 3.276 -1.809 Te
-3.095 0.306 -2.577 Te
```

Computed properties:
E_tot: -5.45 eV per atom


No. 17
Computed, not measured: crystalline PuGaSi at its relaxed geometry at the PBE level of DFT.

Structure (POSCAR):
```
PuGaSi
1.0
0.000 3.292 3.292
3.292 0.000 3.292
3.292 3.292 0.000
Pu Ga Si
1 1 1
Cartesian
1.646 1.646 1.646 Pu
0.000 0.000 0.000 Ga
3.292 3.292 3.292 Si
```

Computed properties:
E_tot: -7.45 eV per atom


No. 18
Computed, not measured: crystalline GdHoAg2Pb2 at its relaxed geometry at the PBE level of DFT.

Structure (POSCAR):
```
GdHoAg2Pb2
1.0
4.817 0.000 0.000
-2.408 4.171 0.000
0.000 0.000 7.454
Pb Ho Ag Gd
2 1 2 1
Cartesian
0.000 2.781 2.040 Pb
2.408 1.390 5.743 Pb
0.000 0.000 3.676 Ho
0.000 2.781 5.038 Ag
2.408 1.390 1.346 Ag
0.000 0.000 7.397 Gd
```

Computed properties:
E_tot: -4.13 eV per atom


No. 19
Computed, not measured: crystalline Cs4BiSbAu2 at its relaxed geometry at the PBE level of DFT.

Structure (POSCAR):
```
Cs4BiSbAu2
1.0
7.343 0.000 0.000
0.000 5.897 4.055
0.000 -5.897 4.055
Cs Bi Sb Au
4 1 1 2
Cartesian
3.672 -1.988 1.414 Cs
0.000 -1.962 6.644 Cs
3.672 1.988 1.414 Cs
0.000 1.962 6.644 Cs
0.000 0.000 2.048 Bi
3.672 0.000 6.086 Sb
5.464 0.000 4.095 Au
1.879 0.000 4.095 Au
```

Computed properties:
E_tot: -2.75 eV per atom


No. 20
Computed, not measured: crystalline Hf2CdPb3 at its relaxed geometry at the PBE level of DFT.

Structure (POSCAR):
```
Hf2CdPb3
1.0
3.629 0.000 0.000
0.000 3.629 0.000
0.000 0.000 11.267
Hf Pb Cd
2 3 1
Cartesian
1.814 1.814 11.183 Hf
0.000 0.000 5.601 Hf
0.000 0.000 1.751 Pb
1.814 1.814 3.854 Pb
1.814 1.814 7.562 Pb
0.000 0.000 9.485 Cd
```

Computed properties:
E_tot: -5.10 eV per atom